# HfFe3F, optimized geometry, DFT PBE+U
# * uncorrected energy: -5.52 eV/atom
# * energy relative to the lowest polymorph listed for this composition: 0 kJ/mol of formula units
data_HfFe3F
_chemical_formula_sum 'Hf1 Fe3 F1'
_cell_length_a 4.3862
_cell_length_b 4.3862
_cell_length_c 4.3862
_cell_angle_alpha 90.00
_cell_angle_beta 90.00
_cell_angle_gamma 90.00
_space_group_name_H-M_alt 'P m -3 m'
_space_group_IT_number 221
_space_group_name_Hall '-P 4 2 3'
loop_
_atom_site_label
_atom_site_fract_x
_atom_site_fract_y
_atom_site_fract_z
Hf1 0.0000 0.0000 0.0000
Fe1 0.0000 0.5000 0.5000
F1 0.5000 0.5000 0.5000



# Hf2FeF, optimized geometry, DFT PBE+U
# * uncorrected energy: -6.57 eV/atom
# * energy relative to the lowest polymorph listed for this composition: 0 kJ/mol of formula units
data_Hf2FeF
_chemical_formula_sum 'Hf8 Fe4 F4'
_cell_length_a 6.2630
_cell_length_b 6.2630
_cell_length_c 6.2630
_cell_angle_alpha 90.00
_cell_angle_beta 90.00
_cell_angle_gamma 90.00
_space_group_name_H-M_alt 'F m -3 m'
_space_group_IT_number 225
_space_group_name_Hall '-F 4 2 3'
loop_
_atom_site_label
_atom_site_fract_x
_atom_site_fract_y
_atom_site_fract_z
Hf1 0.2500 0.2500 0.2500
Fe1 0.0000 0.0000 0.0000
F1 0.0000 0.0000 0.5000



# HfFe3F, optimized geometry, DFT PBE+U
# * uncorrected energy: -4.18 eV/atom
# * energy relative to the lowest polymorph listed for this composition: 647 kJ/mol of formula units
data_HfFe3F
_chemical_formula_sum 'Hf1 Fe3 F1'
_cell_length_a 5.1390
_cell_length_b 5.1390
_cell_length_c 5.1390
_cell_angle_alpha 90.00
_cell_angle_beta 90.00
_cell_angle_gamma 90.00
_space_group_name_H-M_alt 'P m -3 m'
_space_group_IT_number 221
_space_group_name_Hall '-P 4 2 3'
loop_
_atom_site_label
_atom_site_fract_x
_atom_site_fract_y
_atom_site_fract_z
Hf1 0.0000 0.0000 0.0000
Fe1 0.0000 0.0000 0.5000
F1 0.5000 0.5000 0.5000



# Hf2FeF, optimized geometry, DFT PBE+U
# * uncorrected energy: -6.51 eV/atom
# * energy relative to the lowest polymorph listed for this composition: 21 kJ/mol of formula units
data_Hf2FeF
_chemical_formula_sum 'Hf8 Fe4 F4'
_cell_length_a 5.0225
_cell_length_b 5.0225
_cell_length_c 11.5839
_cell_angle_alpha 90.00
_cell_angle_beta 90.00
_cell_angle_gamma 90.00
_space_group_name_H-M_alt 'I -4 2 d'
_space_group_IT_number 122
_space_group_name_Hall 'I -4 2bw'
loop_
_atom_site_label
_atom_site_fract_x
_atom_site_fract_y
_atom_site_fract_z
Hf1 0.2292 0.2500 0.1250
Fe1 0.0000 0.0000 0.5000
F1 0.0000 0.0000 0.0000



# HfFeHgF2, optimized geometry, DFT PBE+U
# * uncorrected energy: -5.25 eV/atom
data_HfFeHgF2
_chemical_formula_sum 'Hf1 Fe1 Hg1 F2'
_cell_length_a 4.1224
_cell_length_b 4.1224
_cell_length_c 5.6052
_cell_angle_alpha 90.00
_cell_angle_beta 90.00
_cell_angle_gamma 90.00
_space_group_name_H-M_alt 'P 4/m m m'
_space_group_IT_number 123
_space_group_name_Hall '-P 4 2'
loop_
_atom_site_label
_atom_site_fract_x
_atom_site_fract_y
_atom_site_fract_z
Hf1 0.0000 0.0000 0.0000
Fe1 0.0000 0.0000 0.5000
Hg1 0.5000 0.5000 0.5000
F1 0.0000 0.5000 0.0000



# HfFeHg2F, optimized geometry, DFT PBE+U
# * uncorrected energy: -3.75 eV/atom
data_HfFeHg2F
_chemical_formula_sum 'Hf1 Fe1 Hg2 F1'
_cell_length_a 5.3742
_cell_length_b 5.3742
_cell_length_c 3.6787
_cell_angle_alpha 90.00
_cell_angle_beta 90.00
_cell_angle_gamma 90.00
_space_group_name_H-M_alt 'P 4/m m m'
_space_group_IT_number 123
_space_group_name_Hall '-P 4 2'
loop_
_atom_site_label
_atom_site_fract_x
_atom_site_fract_y
_atom_site_fract_z
Hf1 0.0000 0.0000 0.0000
Fe1 0.5000 0.5000 0.5000
Hg1 0.0000 0.5000 0.5000
F1 0.5000 0.5000 0.0000